Record 1
{"formula": "CaAc2Cu", "functional": "PBE", "state": "relaxed", "sg": "R-3m (166)", "cell": [[2.021, 1.167, 10.641], [-2.021, 1.167, 10.641], [0.000, -2.334, 10.641]], "species": ["Ca", "Ac", "Ac", "Cu"], "fractional_positions": [[0.000, 0.000, 0.000], [0.230, 0.230, 0.230], [0.770, 0.770, 0.770], [0.500, 0.500, 0.500]]}

Record 2
{"formula": "TbGe2Pt4", "functional": "PBE", "state": "relaxed", "sg": "Pnma (62)", "cell": [[16.459, 0.000, 0.000], [0.000, 4.137, 0.000], [0.000, 0.000, 7.327]], "species": ["Tb", "Tb", "Tb", "Tb", "Ge", "Ge", "Ge", "Ge", "Ge", "Ge", "Ge", "Ge", "Pt", "Pt", "Pt", "Pt", "Pt", "Pt", "Pt", "Pt", "Pt", "Pt", "Pt", "Pt", "Pt", "Pt", "Pt", "Pt"], "fractional_positions": [[0.149, 0.250, 0.073], [0.351, 0.750, 0.573], [0.649, 0.250, 0.427], [0.851, 0.750, 0.927], [0.022, 0.750, 0.249], [0.187, 0.250, 0.624], [0.313, 0.750, 0.124], [0.478, 0.250, 0.749], [0.522, 0.750, 0.251], [0.687, 0.250, 0.876], [0.813, 0.750, 0.376], [0.978, 0.250, 0.751], [0.044, 0.750, 0.904], [0.054, 0.250, 0.440], [0.172, 0.750, 0.399], [0.215, 0.750, 0.824], [0.285, 0.250, 0.324], [0.328, 0.250, 0.899], [0.446, 0.750, 0.940], [0.456, 0.250, 0.404], [0.544, 0.750, 0.596], [0.554, 0.250, 0.060], [0.672, 0.750, 0.101], [0.715, 0.750, 0.676], [0.785, 0.250, 0.176], [0.828, 0.250, 0.601], [0.946, 0.750, 0.560], [0.956, 0.250, 0.096]]}

Record 3
{"formula": "RbLi2GaHg", "functional": "PBE", "state": "relaxed", "sg": "P4/mmm (123)", "cell": [[5.314, 0.000, 0.000], [0.000, 5.314, 0.000], [0.000, 0.000, 5.374]], "species": ["Rb", "Li", "Li", "Ga", "Hg"], "fractional_positions": [[0.000, 0.000, 0.000], [0.000, 0.500, 0.500], [0.500, 0.000, 0.500], [0.500, 0.500, 0.500], [0.500, 0.500, 0.000]]}

no.,DFT formation energy (eV per atom)
1,0.0483
2,-0.7307
3,-0.0770